[1]
Ti4Pb2C: relaxed, PBE.

The value obtained for the calculated formation energy is -2.30 eV/f.u. Its excess energy over the best structure of this formula in the dataset is 0.000 eV per atom.

The structure belongs to space group I4/mmm (No. 139); the cell edges are 4.2035, 4.2035 and 14.5335 Å and the angles 90.00°, 90.00° and 90.00°. The distinct sites, in fractional coordinates, are Ti at (0.0000, 0.0000, 0.1447), Ti at (0.0000, 0.5000, 0.0000), Pb at (0.0000, 0.0000, 0.3484) and C at (0.0000, 0.0000, 0.0000).

---

[2]
TiPb3C: relaxed, PBE.

The value obtained for the calculated formation energy is 7.86 eV/f.u. Its excess energy over the best structure of this formula in the dataset is 0.331 eV per atom.

The structure belongs to space group Pm-3m (No. 221); the cell edges are 5.4202, 5.4202 and 5.4202 Å and the angles 90.00°, 90.00° and 90.00°. The distinct sites, in fractional coordinates, are Ti at (0.0000, 0.0000, 0.0000), Pb at (0.0000, 0.0000, 0.5000) and C at (0.5000, 0.5000, 0.5000).

---

[3]
TiPbC2: relaxed, PBE.

The value obtained for the calculated formation energy is 2.96 eV/f.u.

The structure belongs to space group I-42d (No. 122); the cell edges are 5.0548, 5.0548 and 10.0463 Å and the angles 90.00°, 90.00° and 90.00°. The distinct sites, in fractional coordinates, are Ti at (0.0000, 0.0000, 0.0000), Pb at (0.0000, 0.0000, 0.5000) and C at (0.2068, 0.2500, 0.1250).

---

[4]
Ti2PbC: relaxed, PBE.

The value obtained for the calculated formation energy is 4.08 eV/f.u. Its excess energy over the best structure of this formula in the dataset is 1.588 eV per atom.

The structure belongs to space group Fm-3m (No. 225); the cell edges are 6.3659, 6.3659 and 6.3659 Å and the angles 90.00°, 90.00° and 90.00°. The distinct sites, in fractional coordinates, are Ti at (0.2500, 0.2500, 0.2500), Pb at (0.0000, 0.0000, 0.0000) and C at (0.0000, 0.0000, 0.5000).

---

[5]
Ti2PbC2: relaxed, PBE.

The value obtained for the calculated formation energy is 4.39 eV/f.u. Its excess energy over the best structure of this formula in the dataset is 0.797 eV per atom.

The structure belongs to space group P4/mbm (No. 127); the cell edges are 6.7404, 6.7404 and 2.9503 Å and the angles 90.00°, 90.00° and 90.00°. The distinct sites, in fractional coordinates, are Ti at (0.1308, 0.3692, 0.0000), Pb at (0.0000, 0.0000, 0.0000) and C at (0.1548, 0.6548, 0.5000).

---

[6]
Ti2PbC: relaxed, PBE.

The value obtained for the calculated formation energy is 0.23 eV/f.u. Its excess energy over the best structure of this formula in the dataset is 0.626 eV per atom.

The structure belongs to space group I-42d (No. 122); the cell edges are 6.5211, 6.5211 and 6.4690 Å and the angles 90.00°, 90.00° and 90.00°. The distinct sites, in fractional coordinates, are Ti at (0.1479, 0.2500, 0.1250), Pb at (0.0000, 0.0000, 0.5000) and C at (0.0000, 0.0000, 0.0000).

---

[7]
YTi2PbC: relaxed, PBE.

The value obtained for the calculated formation energy is -1.86 eV/f.u.

The structure belongs to space group P4/mmm (No. 123); the cell edges are 4.3471, 4.3471 and 4.8749 Å and the angles 90.00°, 90.00° and 90.00°. The distinct sites, in fractional coordinates, are Y at (0.0000, 0.0000, 0.0000), Ti at (0.0000, 0.5000, 0.5000), Pb at (0.5000, 0.5000, 0.0000) and C at (0.0000, 0.0000, 0.5000).

---

[8]
Y2TiPbC: relaxed, PBE.

The value obtained for the calculated formation energy is -2.38 eV/f.u.

The structure belongs to space group P4/mmm (No. 123); the cell edges are 4.9727, 4.9727 and 4.3083 Å and the angles 90.00°, 90.00° and 90.00°. The distinct sites, in fractional coordinates, are Y at (0.0000, 0.5000, 0.0000), Ti at (0.0000, 0.0000, 0.5000), Pb at (0.5000, 0.5000, 0.5000) and C at (0.0000, 0.0000, 0.0000).

---

[9]
TlPbC3: relaxed, PBE.

The value obtained for the calculated formation energy is 15.91 eV/f.u.

The structure belongs to space group Pm-3m (No. 221); the cell edges are 4.6423, 4.6423 and 4.6423 Å and the angles 90.00°, 90.00° and 90.00°. The distinct sites, in fractional coordinates, are Tl at (0.0000, 0.0000, 0.0000), Pb at (0.5000, 0.5000, 0.5000) and C at (0.0000, 0.5000, 0.5000).

---

[10]
TlPbC2: relaxed, PBE.

The value obtained for the calculated formation energy is 6.82 eV/f.u. Its excess energy over the best structure of this formula in the dataset is 0.000 eV per atom.

The structure belongs to space group I-42d (No. 122); the cell edges are 5.3618, 5.3618 and 10.6256 Å and the angles 90.00°, 90.00° and 90.00°. The distinct sites, in fractional coordinates, are Tl at (0.0000, 0.0000, 0.0000), Pb at (0.0000, 0.0000, 0.5000) and C at (0.2478, 0.2500, 0.6250).

---

[11]
Tl3PbC: relaxed, PBE.

The value obtained for the calculated formation energy is 4.71 eV/f.u. Its excess energy over the best structure of this formula in the dataset is 0.000 eV per atom.

The structure belongs to space group Pm-3m (No. 221); the cell edges are 5.0918, 5.0918 and 5.0918 Å and the angles 90.00°, 90.00° and 90.00°. The distinct sites, in fractional coordinates, are Tl at (0.0000, 0.0000, 0.5000), Pb at (0.5000, 0.5000, 0.5000) and C at (0.0000, 0.0000, 0.0000).

---

[12]
TlPbC2: relaxed, PBE.

The value obtained for the calculated formation energy is 9.60 eV/f.u. Its excess energy over the best structure of this formula in the dataset is 0.695 eV per atom.

The structure belongs to space group Fm-3m (No. 225); the cell edges are 6.5153, 6.5153 and 6.5153 Å and the angles 90.00°, 90.00° and 90.00°. The distinct sites, in fractional coordinates, are Tl at (0.0000, 0.0000, 0.0000), Pb at (0.0000, 0.0000, 0.5000) and C at (0.2500, 0.2500, 0.2500).

---

no.,total magnetic moment (μB/cell),calculated total energy (eV for the cell shown)
1,0.00,-101.0
2,1.63,-20.4
3,0.00,-108.4
4,0.00,-98.6
5,1.44,-67.1
6,0.00,-114.0
7,0.95,-37.0
8,1.40,-36.1
9,3.31,-17.8
10,0.00,-70.8
11,0.00,-15.3
12,0.00,-59.7